First-principles (PBE) data for a relaxed Nd2CuH12Rh3 crystal, as listed in the Alexandria database.

```
18
Lattice="5.9648 -0.1410 -0.1000 2.8231 5.2563 -0.1000 2.8231 1.6433 4.9938" Properties=species:S:1:pos:R:3 pbc="T T T"
Rh 1.4116 2.6282 -0.0500
Rh 2.9824 -0.0705 -0.0500
Rh 1.4116 0.8216 2.4969
H 2.7324 1.5905 3.2210
H 5.4032 3.1451 4.3011
H 4.4500 0.6150 0.4362
H 6.2078 1.6596 3.2474
H 8.8786 5.1681 1.5728
H 2.7324 3.5657 0.4362
H 6.2078 3.6135 0.4927
H 7.1611 6.1435 4.3576
H 8.8786 3.1929 4.3576
H 5.4032 5.0990 1.5464
H 4.5088 4.5784 3.2474
H 7.1022 2.1802 1.5464
Cu 0.0000 0.0000 0.0000
Nd 4.3670 2.5419 1.8030
Nd 7.2441 4.2167 2.9908
```

* SG: R-3m
* V: 8.92 A^3/atom
* DFT total energy: -4.470 eV per atom
* D(E_F): 0.374 states/eV/atom
* size of the total moment: 0.000 μB per atom